Here is a PBEsol-optimized structure of In3GeAu from Alexandria via LeMat-Bulk. Energies are from SCAN. Values from VASP.

```
&SYSTEM
  ibrav = 0, nat = 5, ntyp = 3
/
ATOMIC_SPECIES
In 114.82 In.upf
Au 196.97 Au.upf
Ge 72.64 Ge.upf
CELL_PARAMETERS angstrom
-1.089 -4.612 2.086
4.061 -2.070 -2.456
3.022 1.119 4.053
ATOMIC_POSITIONS crystal
In 0.500 0.000 0.000
Au 0.500 0.500 0.500
In 0.000 0.500 0.000
Ge 0.000 0.000 0.000
In 0.000 0.000 0.500
```

## Properties
Energy = -37.199 eV/atom
DFT formation energy = 0.48 eV/atom
Magnetic moment = 0.00 μB per formula unit